# 1
Below is a relaxed Pm2CrCdO6 crystal, with properties calculated at the PBE+U level.

Unit cell a=5.104 b=5.388 c=5.388 alpha=90.00 beta=90.00 gamma=90.00
Last column: magnetic moment on the atom in μB.
Positions (direct):
Pm1 0.996 0.500 0.000  0.02
Pm2 0.996 0.000 0.500  0.02
Cr1 0.601 0.000 0.000  2.33
Cd1 0.543 0.500 0.500  0.00
O1 0.734 0.233 0.233  -0.07
O2 0.734 0.233 0.767  -0.07
O3 0.129 0.500 0.500  -0.01
O4 0.244 0.000 0.000  -0.10
O5 0.734 0.767 0.767  -0.07
O6 0.734 0.767 0.233  -0.07

Properties
space-group type	No. 99
D(E_F)	2.9	states/eV/cell
V	14.82	Å³/atom
electronic total energy	-0.257	hartree per atom

***

# 2
Below is a relaxed PmCrCdO4 crystal, with properties calculated at the PBE+U level.

Unit cell a=6.370 b=6.591 c=6.591 alpha=63.02 beta=61.10 gamma=61.10
Last column: magnetic moment on the atom in μB.
Positions (direct):
Pm1 0.000 0.000 0.000  0.00
Pm2 0.000 0.500 0.500  0.00
Cr1 0.500 0.000 0.500  2.99
Cr2 0.000 0.000 0.500  2.99
Cd1 0.623 0.627 0.127  0.01
Cd2 0.377 0.373 0.873  0.01
O1 0.748 0.800 0.704  -0.04
O2 0.252 0.796 0.700  -0.04
O3 0.748 0.204 0.300  -0.04
O4 0.252 0.200 0.296  -0.04
O5 0.208 0.779 0.279  -0.01
O6 0.734 0.779 0.279  -0.01
O7 0.266 0.221 0.721  -0.01
O8 0.792 0.221 0.721  -0.01

Properties
space-group type	No. 74
V	14.51	Å³/atom
electronic total energy	-0.251	hartree per atom

***

- Which of these has the highest V?
  Pm2CrCdO6